(1)
The following is a DFT calculation (PBE) of crystalline ZrBeBr2 at its relaxed geometry.

Values from the calculation:
M_tot = 0.4772 μB per atom
E_tot = -0.24583 Ry per atom
DOS at the Fermi energy = 0.804 states/eV/atom

Lattice parameters (Å, degrees): 4.976 4.976 4.976 60.00 60.00 60.00
Site moments in Bohr magnetons follow the coordinates.
Positions (direct):
Be: 0.500 0.500 0.500  0.11
Br: 0.000 0.000 0.000  0.01
Br: 0.250 0.250 0.250  0.00
Zr: 0.750 0.750 0.750  0.99

=====

(2)
The following is a DFT calculation (PBE) of crystalline ZrBeBr2 at its relaxed geometry.

Values from the calculation:
M_tot = 0.0531 μB per atom
E_tot = -0.28508 Ry per atom
DOS at the Fermi energy = 0.585 states/eV/atom

Lattice parameters (Å, degrees): 3.298 3.298 9.512 90.00 90.00 90.00
Site moments in Bohr magnetons follow the coordinates.
Positions (direct):
Be: 0.500 0.500 0.750  0.00
Br: 0.000 0.000 0.074  0.00
Br: 0.000 0.000 0.426  0.00
Zr: 0.500 0.500 0.250  0.15

=====

(3)
The following is a DFT calculation (PBE) of crystalline Zr2BeBr2 at its relaxed geometry.

Values from the calculation:
M_tot = 0.2038 μB per atom
E_tot = -0.33707 Ry per atom
DOS at the Fermi energy = 0.907 states/eV/atom

Lattice parameters (Å, degrees): 4.234 4.234 7.203 72.91 72.91 90.00
Site moments in Bohr magnetons follow the coordinates.
Positions (direct):
Be: 0.000 0.000 0.000  0.01
Br: 0.750 0.250 0.500  0.01
Br: 0.250 0.750 0.500  0.01
Zr: 0.392 0.392 0.215  0.35
Zr: 0.608 0.608 0.785  0.35

=====

| no. | energy above the lowest structure with this stoichiometry (eV/atom) |
| --- | --- |
| 1 | 1.073 |
| 2 | 0.539 |
| 3 | 0.178 |